First-principles (SCAN) data for a crystal of U2Co12P7 relaxed with PBEsol, as listed in Alexandria via LeMat-Bulk.

The structure belongs to space group P-6 (No. 174); the cell edges are 8.8866, 8.8866 and 3.5379 Å and the angles 90.00°, 90.00° and 120.00°. The inequivalent atoms are U at (0.0000, 0.0000, 0.0000), U at (0.3333, 0.6667, 0.5000), Co at (0.0470, 0.7704, 0.5000), Co at (0.1117, 0.4003, 0.0000), Co at (0.3917, 0.2095, 0.0000), Co at (0.5411, 0.1061, 0.5000), P at (0.0642, 0.6202, 0.0000), P at (0.2678, 0.0409, 0.5000) and P at (0.6667, 0.3333, 0.0000).

The value obtained for the density of states at the Fermi level is 12.5 states/eV/cell. The total energy comes out at -23.8061 eV/atom. The calculation puts the spin magnetization at 11.02 μB/cell.

=====

First-principles (SCAN) data for a crystal of KBaRe2 relaxed with PBEsol, as listed in Alexandria via LeMat-Bulk.

The structure belongs to space group R3m (No. 160, hexagonal axes); the cell edges are 4.1659, 4.1659 and 28.1341 Å and the angles 90.00°, 90.00° and 120.00°. The inequivalent atoms are K at (0.0000, 0.0000, 0.0000), Ba at (0.0000, 0.0000, 0.1767), Re at (0.0000, 0.0000, 0.4311) and Re at (0.0000, 0.0000, 0.7539).

The value obtained for the density of states at the Fermi level is 6.9 states/eV/cell. The total energy comes out at -46.8934 eV/atom. The calculation puts the spin magnetization at 0.02 μB/cell.

=====

First-principles (SCAN) data for a crystal of In2TcMo relaxed with PBEsol, as listed in Alexandria via LeMat-Bulk.

The structure belongs to space group Cmmm (No. 65); the cell edges are 3.311, 4.646 and 9.008 Å and the angles 90.00°, 90.00° and 90.00°. The inequivalent atoms are In at (0.000, 0.000, 0.245), Tc at (0.000, 0.500, 0.000) and Mo at (0.000, 0.500, 0.500).

The value obtained for the density of states at the Fermi level is 6.5 states/eV/cell. The total energy comes out at -33.7000 eV/atom. The calculation puts the spin magnetization at 0.07 μB/cell. The energy above the most stable polymorph in this dataset is 0.223 eV/atom.

=====

First-principles (SCAN) data for a crystal of Ta2WAu relaxed with PBEsol, as listed in Alexandria via LeMat-Bulk.

The structure belongs to space group P2/m (No. 10); the cell edges are 2.778, 4.248 and 5.800 Å and the angles 90.00°, 99.04° and 90.00°. The inequivalent atoms are Ta at (0.078, 0.000, 0.262), W at (0.500, 0.500, 0.500) and Au at (0.500, 0.500, 0.000).

The value obtained for the density of states at the Fermi level is 2.3 states/eV/cell. The total energy comes out at -68.0006 eV/atom. The calculation puts the spin magnetization at 0.00 μB/cell. The energy above the most stable polymorph in this dataset is 0.121 eV/atom.

=====

First-principles (SCAN) data for a crystal of AlRh2Br relaxed with PBEsol, as listed in Alexandria via LeMat-Bulk.

The structure belongs to space group Fm-3m (No. 225); the cell edges are 6.210, 6.210 and 6.210 Å and the angles 90.00°, 90.00° and 90.00°. The inequivalent atoms are Al at (0.000, 0.000, 0.000), Rh at (0.250, 0.250, 0.250) and Br at (0.000, 0.000, 0.500).

The value obtained for the density of states at the Fermi level is 11.2 states/eV/cell. The total energy comes out at -23.5149 eV/atom. The calculation puts the spin magnetization at 5.75 μB/cell. The value obtained for the uncorrected formation energy is 0.174 eV per atom. The energy above the most stable polymorph in this dataset is 0.140 eV/atom.

=====

First-principles (SCAN) data for a crystal of RbIn2CuP relaxed with PBEsol, as listed in Alexandria via LeMat-Bulk.

The structure belongs to space group P4/mmm (No. 123); the cell edges are 5.181, 5.181 and 4.700 Å and the angles 90.00°, 90.00° and 90.00°. The inequivalent atoms are Rb at (0.000, 0.000, 0.000), In at (0.000, 0.500, 0.500), Cu at (0.500, 0.500, 0.500) and P at (0.500, 0.500, 0.000).

The value obtained for the density of states at the Fermi level is 2.0 states/eV/cell. The total energy comes out at -22.4743 eV/atom. The calculation puts the spin magnetization at 0.00 μB/cell.

=====

First-principles (SCAN) data for a crystal of Cu3C relaxed with PBEsol, as listed in Alexandria via LeMat-Bulk.

The structure belongs to space group P-6m2 (No. 187); the cell edges are 2.6673, 2.6673 and 6.6313 Å and the angles 90.00°, 90.00° and 120.00°. The inequivalent atoms are Cu at (0.0000, 0.0000, 0.0000), Cu at (0.3333, 0.6667, 0.3051) and C at (0.0000, 0.0000, 0.5000).

The value obtained for the density of states at the Fermi level is 2.0 states/eV/cell. The total energy comes out at -13.1350 eV/atom. The calculation puts the spin magnetization at 0.00 μB/cell.

=====

First-principles (SCAN) data for a crystal of AlHg3Cl relaxed with PBEsol, as listed in Alexandria via LeMat-Bulk.

The structure belongs to space group Pm-3m (No. 221); the cell edges are 5.448, 5.448 and 5.448 Å and the angles 90.00°, 90.00° and 90.00°. The inequivalent atoms are Al at (0.000, 0.000, 0.000), Hg at (0.000, 0.500, 0.500) and Cl at (0.500, 0.500, 0.500).

The value obtained for the density of states at the Fermi level is 1.9 states/eV/cell. The total energy comes out at -43.4627 eV/atom. The calculation puts the spin magnetization at 0.00 μB/cell. The value obtained for the uncorrected formation energy is 0.583 eV per atom.

=====

First-principles (SCAN) data for a crystal of CaIr2Pt relaxed with PBEsol, as listed in Alexandria via LeMat-Bulk.

The structure belongs to space group Pm (No. 6); the cell edges are 2.781, 4.470 and 5.385 Å and the angles 90.00°, 103.06° and 90.00°. The inequivalent atoms are Ca at (0.000, 0.000, 0.000), Ir at (0.296, 0.000, 0.500), Ir at (0.726, 0.500, 0.372) and Pt at (0.428, 0.500, 0.818).

The value obtained for the density of states at the Fermi level is 3.3 states/eV/cell. The total energy comes out at -55.6823 eV/atom. The calculation puts the spin magnetization at 0.00 μB/cell. The energy above the most stable polymorph in this dataset is 0.000 eV/atom.

=====

First-principles (SCAN) data for a crystal of CeAgSn relaxed with PBEsol, as listed in Alexandria via LeMat-Bulk.

The structure belongs to space group P6_3mc (No. 186); the cell edges are 4.7667, 4.7667 and 7.2778 Å and the angles 90.00°, 90.00° and 120.00°. The inequivalent atoms are Ce at (0.0000, 0.0000, 0.0000), Ag at (0.3333, 0.6667, 0.1994) and Sn at (0.3333, 0.6667, 0.7740).

The value obtained for the density of states at the Fermi level is 1.8 states/eV/cell. The total energy comes out at -37.9260 eV/atom. The calculation puts the spin magnetization at 2.12 μB/cell.

=====

First-principles (SCAN) data for a crystal of SnSeI2 relaxed with PBEsol, as listed in Alexandria via LeMat-Bulk.

The structure belongs to space group Fm-3m (No. 225); the cell edges are 7.630, 7.630 and 7.630 Å and the angles 90.00°, 90.00° and 90.00°. The inequivalent atoms are Sn at (0.000, 0.000, 0.000), Se at (0.000, 0.000, 0.500) and I at (0.250, 0.250, 0.250).

The value obtained for the density of states at the Fermi level is 8.2 states/eV/cell. The total energy comes out at -32.0250 eV/atom. The calculation puts the spin magnetization at 7.88 μB/cell. The value obtained for the uncorrected formation energy is 0.346 eV per atom. The energy above the most stable polymorph in this dataset is 0.029 eV/atom.

=====

First-principles (SCAN) data for a crystal of ZrTaGa3 relaxed with PBEsol, as listed in Alexandria via LeMat-Bulk.

The structure belongs to space group Pm-3m (No. 221); the cell edges are 4.870, 4.870 and 4.870 Å and the angles 90.00°, 90.00° and 90.00°. The inequivalent atoms are Zr at (0.000, 0.000, 0.000), Ta at (0.500, 0.500, 0.500) and Ga at (0.000, 0.000, 0.500).

The value obtained for the density of states at the Fermi level is 3.6 states/eV/cell. The total energy comes out at -28.0095 eV/atom. The calculation puts the spin magnetization at 2.02 μB/cell.